First-principles (PBE-GGA) data for a relaxed structure of KINO2, as listed in Alexandria.

Summary:
E_tot ... -2.643 eV/atom
Crystal system ... tetragonal
Total magnetic moment ... 5.64 μB per cell
ΔE_f (raw) ... 1535 meV per atom
Calculated volume ... 198.5 Å³/cell
Symmetry ... P4/mmm (123)

Lattice parameters (Å, degrees): 5.260 5.260 7.175 90.00 90.00 90.00
Each line ends with the local moment (μB).
Element x y z (fractional)
O  0.500  0.000  0.000  1.26
K  0.000  0.000  0.000  -0.01
O  0.000  0.500  0.000  1.26
N  0.500  0.500  0.500  1.87
I  0.000  0.000  0.500  -0.26